Compound: LiAlNi2
Source: Alexandria
Functional: PBE
Structure: relaxed

Cell lengths 4.444, 4.444, 4.444 Å; angles 132.44, 132.44, 69.53 degrees
Positions (direct):
Al1 0.500 0.500 0.000
Li1 0.750 0.250 0.500
Ni1 0.000 0.000 0.000
Ni2 0.250 0.750 0.500

Computed properties:
- total magnetic moment (Bohr magnetons per cell) = 0.00
- formation energy (kJ/mol of atoms) = -28
- space group = I-4m2, No. 119
- E (eV/atom) = -4.60

---

Compound: Zn4As5
Source: Alexandria
Functional: PBE
Structure: relaxed

Cell lengths 8.140, 8.140, 5.651 Å; angles 90.00, 90.00, 120.00 degrees
Positions (direct):
As1 0.000 0.665 0.250
As2 0.335 0.335 0.250
As3 0.665 0.000 0.250
As4 0.000 0.335 0.750
As5 0.665 0.665 0.750
As6 0.335 0.000 0.750
As7 0.667 0.333 0.000
As8 0.333 0.667 0.500
As9 0.333 0.667 0.000
As10 0.667 0.333 0.500
Zn1 0.000 0.000 0.000
Zn2 0.000 0.000 0.500
Zn3 0.000 0.329 0.250
Zn4 0.671 0.671 0.250
Zn5 0.329 0.000 0.250
Zn6 0.000 0.671 0.750
Zn7 0.329 0.329 0.750
Zn8 0.671 0.000 0.750

Computed properties:
- total magnetic moment (Bohr magnetons per cell) = 0.00
- formation energy (kJ/mol of atoms) = 27
- space group = P6_3/mcm, No. 193
- relative energy among the computed polymorphs (meV/atom) = 7.0
- E (eV/atom) = -2.87

---

Compound: ZrSc2SiC
Source: Alexandria
Functional: PBE
Structure: relaxed

Cell lengths 4.406, 4.406, 4.507 Å; angles 90.00, 90.00, 90.00 degrees
Positions (direct):
Sc1 0.000 0.500 0.000
Sc2 0.500 0.000 0.000
Si1 0.500 0.500 0.500
C1 0.000 0.000 0.000
Zr1 0.000 0.000 0.500

Computed properties:
- total magnetic moment (Bohr magnetons per cell) = 0.00
- space group = P4/mmm, No. 123
- E (eV/atom) = -7.78
- formation energy without anion corrections (meV per atom) = -609.3

---

Compound: Hf2CdAg
Source: Alexandria
Functional: PBE
Structure: relaxed

Cell lengths 7.886, 7.886, 6.255 Å; angles 50.92, 50.92, 90.00 degrees
Positions (direct):
Hf1 0.607 0.125 0.250
Hf2 0.143 0.625 0.250
Hf3 0.375 0.393 0.750
Hf4 0.875 0.857 0.750
Ag1 0.500 0.500 0.000
Ag2 0.250 0.750 0.500
Cd1 0.000 0.000 0.000
Cd2 0.750 0.250 0.500

Computed properties:
- total magnetic moment (Bohr magnetons per cell) = 0.00
- formation energy (kJ/mol of atoms) = 44
- space group = I-42d, No. 122
- E (eV/atom) = -5.47